(1)
A relaxed La2InPb2 crystal, computed with PBE-GGA.

Properties
DFT total energy = -4.529 eV per atom
DOS at the Fermi energy = 0.885 states/eV per atom
Energy above the lowest structure with this stoichiometry = 0 meV/atom
Energy relative to the elements = -2.6 eV/f.u.

abc: 8.2634 8.2634 4.7135
angles: 90.00 90.00 90.00
With the nearest neighbours (Å) after each atom.
Sites, in units of the cell vectors:
La: 0.1743 0.3257 0.0000  6 Pb 3.27-3.47
La: 0.3257 0.8257 0.0000  6 Pb 3.27-3.47
La: 0.6743 0.1743 0.0000  6 Pb 3.27-3.47
La: 0.8257 0.6743 0.0000  6 Pb 3.27-3.47
In: 0.0000 0.0000 0.5000  4 Pb 3.23
In: 0.5000 0.5000 0.5000  4 Pb 3.23
Pb: 0.1313 0.6313 0.5000  1 Pb 3.07, 2 In 3.23, 2 La 3.27
Pb: 0.3687 0.1313 0.5000  1 Pb 3.07, 2 In 3.23, 2 La 3.27
Pb: 0.6313 0.8687 0.5000  1 Pb 3.07, 2 In 3.23, 2 La 3.27
Pb: 0.8687 0.3687 0.5000  1 Pb 3.07, 2 In 3.23, 2 La 3.27


(2)
A relaxed La2InPb crystal, computed with PBE-GGA.

Properties
DFT total energy = -4.338 eV per atom
DOS at the Fermi energy = 1.513 states/eV per atom
Energy relative to the elements = -1.0 eV/f.u.

abc: 4.4685 4.4685 6.6487
angles: 90.00 90.00 90.00
With the nearest neighbours (Å) after each atom.
Sites, in units of the cell vectors:
La: 0.0000 0.0000 0.0000  2 Pb 3.24-3.41, 4 In 3.43
La: 0.5000 0.5000 0.3081  2 In 3.26-3.39, 4 Pb 3.44
In: 0.5000 0.5000 0.7978  6 La 3.26-3.43
Pb: 0.0000 0.0000 0.5132  6 La 3.24-3.44


(3)
A relaxed La4In3Pb crystal, computed with PBE-GGA.

Properties
DFT total energy = -4.477 eV per atom
DOS at the Fermi energy = 0.443 states/eV per atom
Energy relative to the elements = -4.2 eV/f.u.

abc: 8.8281 8.8281 8.8281
angles: 142.78 142.78 53.66
With the nearest neighbours (Å) after each atom.
Sites, in units of the cell vectors:
La: 0.1262 0.6262 0.5000  6 In 3.40-3.45, 2 Pb 3.45
La: 0.3738 0.8738 0.5000  6 In 3.40-3.45, 2 Pb 3.45
La: 0.6262 0.1262 0.5000  6 In 3.40-3.45, 2 Pb 3.45
La: 0.8738 0.3738 0.5000  6 In 3.40-3.45, 2 Pb 3.45
In: 0.0000 0.0000 0.0000  8 La 3.45
In: 0.2473 0.2473 0.0000  8 La 3.40-3.45
In: 0.7527 0.7527 0.0000  8 La 3.40-3.45
Pb: 0.5000 0.5000 0.0000  8 La 3.45


(4)
A relaxed La12In3Pb crystal, computed with PBE-GGA.

Properties
DFT total energy = -4.765 eV per atom
DOS at the Fermi energy = 1.557 states/eV per atom
Energy relative to the elements = -5.2 eV/f.u.

abc: 5.0730 5.0730 20.2323
angles: 90.00 90.00 90.00
With the nearest neighbours (Å) after each atom.
Sites, in units of the cell vectors:
La: 0.0000 0.0000 0.0000  8 La 3.58, 4 In 3.59
La: 0.0000 0.0000 0.2484  8 La 3.56-3.60, 4 In 3.59
La: 0.0000 0.0000 0.5000  4 Pb 3.59, 8 La 3.59
La: 0.0000 0.0000 0.7516  8 La 3.56-3.60, 4 In 3.59
La: 0.0000 0.5000 0.1250  8 La 3.56-3.59, 4 In 3.58
La: 0.0000 0.5000 0.3745  2 In 3.58, 8 La 3.59-3.60, 2 Pb 3.59
La: 0.0000 0.5000 0.6255  2 In 3.58, 8 La 3.59-3.60, 2 Pb 3.59
La: 0.0000 0.5000 0.8750  8 La 3.56-3.59, 4 In 3.58
La: 0.5000 0.0000 0.1250  8 La 3.56-3.59, 4 In 3.58
La: 0.5000 0.0000 0.3745  2 In 3.58, 8 La 3.59-3.60, 2 Pb 3.59
La: 0.5000 0.0000 0.6255  2 In 3.58, 8 La 3.59-3.60, 2 Pb 3.59
La: 0.5000 0.0000 0.8750  8 La 3.56-3.59, 4 In 3.58
In: 0.5000 0.5000 0.0000  12 La 3.58-3.59
In: 0.5000 0.5000 0.2497  12 La 3.58-3.59
In: 0.5000 0.5000 0.7503  12 La 3.58-3.59
Pb: 0.5000 0.5000 0.5000  12 La 3.59


(5)
A relaxed LaInPb crystal, computed with PBE-GGA.

Properties
DFT total energy = -4.121 eV per atom
DOS at the Fermi energy = 0.780 states/eV per atom
Energy above the lowest structure with this stoichiometry = 135 meV/atom
Energy relative to the elements = -1.0 eV/f.u.

abc: 6.5981 6.5981 6.5981
angles: 145.67 145.67 49.34
With the nearest neighbours (Å) after each atom.
Sites, in units of the cell vectors:
La: 0.0000 0.0000 0.0000  4 In 3.46, 5 Pb 3.58-3.71
In: 0.6751 0.6751 0.0000  4 Pb 3.19, 4 La 3.46
Pb: 0.3092 0.3092 0.0000  4 In 3.19


(6)
A relaxed La2InPb crystal, computed with PBE-GGA.

Properties
DFT total energy = -4.626 eV per atom
DOS at the Fermi energy = 0.819 states/eV per atom
Energy relative to the elements = -2.2 eV/f.u.

abc: 5.9097 5.9097 3.6421
angles: 90.00 90.00 101.89
With the nearest neighbours (Å) after each atom.
Sites, in units of the cell vectors:
La: 0.0000 0.5000 0.0000  4 Pb 3.47, 4 In 3.47, 4 La 3.64-3.72
La: 0.5000 0.0000 0.0000  4 Pb 3.47, 4 In 3.47, 4 La 3.64-3.72
In: 0.0000 0.0000 0.5000  8 La 3.47, 2 In 3.64, 2 Pb 3.72
Pb: 0.5000 0.5000 0.5000  8 La 3.47, 2 Pb 3.64, 2 In 3.72


(7)
A relaxed LaInPb3 crystal, computed with PBE-GGA.

Properties
DFT total energy = -3.518 eV per atom
DOS at the Fermi energy = 0.963 states/eV per atom
Energy above the lowest structure with this stoichiometry = 389 meV/atom
Energy relative to the elements = 1.2 eV/f.u.

abc: 5.6925 5.6925 5.6925
angles: 90.00 90.00 90.00
With the nearest neighbours (Å) after each atom.
Sites, in units of the cell vectors:
La: 0.0000 0.0000 0.0000  12 Pb 4.03
In: 0.5000 0.5000 0.5000  6 Pb 2.85
Pb: 0.0000 0.5000 0.5000  2 In 2.85
Pb: 0.5000 0.0000 0.5000  2 In 2.85
Pb: 0.5000 0.5000 0.0000  2 In 2.85


(8)
A relaxed LaInPdPb crystal, computed with PBE-GGA.

Properties
DFT total energy = -4.594 eV per atom
DOS at the Fermi energy = 0.237 states/eV per atom
Energy relative to the elements = -1.8 eV/f.u.

abc: 5.2350 5.2350 5.2350
angles: 60.00 60.00 60.00
With the nearest neighbours (Å) after each atom.
Sites, in units of the cell vectors:
La: 0.0000 0.0000 0.0000  4 In 3.21, 4 Pd 3.21
In: 0.7500 0.7500 0.7500  4 La 3.21, 4 Pb 3.21
Pd: 0.2500 0.2500 0.2500  4 La 3.21, 4 Pb 3.21
Pb: 0.5000 0.5000 0.5000  4 In 3.21, 4 Pd 3.21


(9)
A relaxed LaIn2PdPb crystal, computed with PBE-GGA.

Properties
DFT total energy = -4.246 eV per atom
DOS at the Fermi energy = 0.684 states/eV per atom
Energy relative to the elements = -1.9 eV/f.u.

abc: 5.1813 5.1813 5.4978
angles: 90.00 90.00 90.00
With the nearest neighbours (Å) after each atom.
Sites, in units of the cell vectors:
La: 0.0000 0.0000 0.0000  2 Pd 2.75
In: 0.0000 0.5000 0.5000  2 Pd 2.59
In: 0.5000 0.0000 0.5000  2 Pd 2.59
Pd: 0.0000 0.0000 0.5000  4 In 2.59, 2 La 2.75
Pb: 0.5000 0.5000 0.0000  4 La 3.66, 8 In 3.78


(10)
A relaxed LaPmInPb crystal, computed with PBE-GGA.

Properties
DFT total energy = -4.520 eV per atom
DOS at the Fermi energy = 0.599 states/eV per atom
Energy relative to the elements = -2.0 eV/f.u.

abc: 5.5699 5.5699 5.5699
angles: 60.00 60.00 60.00
With the nearest neighbours (Å) after each atom.
Sites, in units of the cell vectors:
La: 0.0000 0.0000 0.0000  4 In 3.41, 4 Pb 3.41
Pm: 0.5000 0.5000 0.5000  4 In 3.41, 4 Pb 3.41
In: 0.7500 0.7500 0.7500  4 Pm 3.41, 4 La 3.41
Pb: 0.2500 0.2500 0.2500  4 Pm 3.41, 4 La 3.41


(11)
A relaxed LaIn2RhPb crystal, computed with PBE-GGA.

Properties
DFT total energy = -4.723 eV per atom
DOS at the Fermi energy = 0.610 states/eV per atom
Energy relative to the elements = -2.2 eV/f.u.

abc: 5.2012 5.2012 5.3367
angles: 90.00 90.00 90.00
With the nearest neighbours (Å) after each atom.
Sites, in units of the cell vectors:
La: 0.0000 0.0000 0.0000  2 Rh 2.67
In: 0.0000 0.5000 0.5000  2 Rh 2.60
In: 0.5000 0.0000 0.5000  2 Rh 2.60
Rh: 0.0000 0.0000 0.5000  4 In 2.60, 2 La 2.67
Pb: 0.5000 0.5000 0.0000  4 La 3.68, 8 In 3.73


(12)
A relaxed LaIn2RuPb crystal, computed with PBE-GGA.

Properties
DFT total energy = -4.875 eV per atom
DOS at the Fermi energy = 0.781 states/eV per atom
Energy relative to the elements = -1.0 eV/f.u.

abc: 5.2526 5.2526 5.2095
angles: 90.00 90.00 90.00
With the nearest neighbours (Å) after each atom.
Sites, in units of the cell vectors:
La: 0.0000 0.0000 0.0000  2 Ru 2.60
In: 0.0000 0.5000 0.5000  2 Ru 2.63
In: 0.5000 0.0000 0.5000  2 Ru 2.63
Ru: 0.0000 0.0000 0.5000  2 La 2.60, 4 In 2.63
Pb: 0.5000 0.5000 0.0000  8 In 3.70, 4 La 3.71


(13)
A relaxed La2InRuPb crystal, computed with PBE-GGA.

Properties
DFT total energy = -5.523 eV per atom
DOS at the Fermi energy = 0.934 states/eV per atom
Energy above the lowest structure with this stoichiometry = 0 meV/atom
Energy relative to the elements = -2.0 eV/f.u.

abc: 5.3777 5.3777 5.2517
angles: 90.00 90.00 90.00
With the nearest neighbours (Å) after each atom.
Sites, in units of the cell vectors:
La: 0.0000 0.5000 0.0000  2 Ru 2.69
La: 0.5000 0.0000 0.0000  2 Ru 2.69
In: 0.0000 0.0000 0.5000  2 Ru 2.63
Ru: 0.0000 0.0000 0.0000  2 In 2.63, 4 La 2.69
Pb: 0.5000 0.5000 0.5000  8 La 3.76, 4 In 3.80